# Ho3CoRu

Crystalline Ho3CoRu at its relaxed geometry (GGA-PBE, Alexandria).

Computed properties:
VASP energy   -6.21 eV/atom
ΔE_f   -184 meV per atom
D(E_F)   8.86 states/eV per cell

Unit cell a=6.3457 b=6.3507 c=6.9825 alpha=67.14 beta=66.44 gamma=67.22
Closest atoms and distances in Å follow each position.
Space group P-1 (No. 2)
Symmetry-distinct sites (fractional):
Ho 0.1134 0.3783 0.2644  2 Co 2.70-2.89, 2 Ru 2.75-2.94
Ho 0.2862 0.8576 0.7075  1 Co 2.69, 2 Ru 2.75-2.82
Ho 0.3683 0.7821 0.2002  2 Co 2.69-2.79, 2 Ru 2.77-3.01
Co 0.3346 0.3798 0.5543  1 Ru 2.52, 4 Ho 2.69-2.79, 1 Co 2.76
Ru 0.1307 0.1809 0.9396  1 Co 2.52, 4 Ho 2.75-2.82